Record 1
{
  "formula": "DyHo3Tl4Se8",
  "functional": "PBE",
  "state": "relaxed",
  "spacegroup": "R-3m (166)",
  "raw_formation_energy_kj_per_mol_fu": -2138.7,
  "dft_energy_ev_per_atom": -4.87,
  "lattice": [[-6.313, -5.074, 2.013], [4.144, -6.889, -4.370], [4.331, 3.858, 6.002]],
  "species": ["Se", "Se", "Se", "Se", "Se", "Se", "Se", "Se", "Dy", "Ho", "Ho", "Ho", "Tl", "Tl", "Tl", "Tl"],
  "frac_coords": [[0.734, 0.703, 0.469], [0.765, 0.296, 0.031], [0.266, 0.296, 0.031], [0.235, 0.704, 0.969], [0.235, 0.704, 0.470], [0.765, 0.296, 0.530], [0.734, 0.704, 0.969], [0.266, 0.297, 0.531], [0.000, 0.500, 0.000], [0.500, 0.500, 0.500], [0.500, 0.500, 0.000], [0.000, 0.500, 0.500], [0.500, 0.000, 0.500], [0.500, 0.000, 0.000], [0.000, 0.000, 0.000], [0.000, 0.000, 0.500]]
}



Record 2
{
  "formula": "Pb7W6",
  "functional": "PBE",
  "state": "relaxed",
  "spacegroup": "R-3m (166)",
  "formation_enthalpy_0k_ev_per_atom": 1.64,
  "dos_ef_per_ev_atom": 0.935,
  "dft_energy_ev_per_atom": -6.33,
  "lattice": [[-3.618, -10.694, -0.092], [2.353, -11.041, -0.089], [-0.589, -10.089, 5.031]],
  "species": ["W", "W", "W", "W", "W", "W", "Pb", "Pb", "Pb", "Pb", "Pb", "Pb", "Pb"],
  "frac_coords": [[0.039, 0.039, 0.039], [0.337, 0.337, 0.337], [0.663, 0.663, 0.663], [0.110, 0.110, 0.110], [0.961, 0.961, 0.961], [0.890, 0.890, 0.890], [0.579, 0.579, 0.074], [0.421, 0.926, 0.421], [0.579, 0.074, 0.579], [0.926, 0.421, 0.421], [0.500, 0.500, 0.500], [0.074, 0.579, 0.579], [0.421, 0.421, 0.926]]
}



Record 3
{
  "formula": "YSb3S6",
  "functional": "PBE",
  "state": "relaxed",
  "spacegroup": "P2_1/m (11)",
  "polymorph_energy_mev_per_atom": 0,
  "raw_formation_energy_kj_per_mol_fu": -683.7,
  "dft_energy_ev_per_atom": -5.07,
  "lattice": [[3.854, 0.000, 0.000], [0.000, 11.844, 0.797], [0.000, -3.169, 11.050]],
  "species": ["S", "S", "S", "S", "S", "S", "S", "S", "S", "S", "S", "S", "Sb", "Sb", "Sb", "Sb", "Sb", "Sb", "Y", "Y"],
  "frac_coords": [[0.250, 0.045, 0.877], [0.250, 0.896, 0.538], [0.250, 0.211, 0.714], [0.750, 0.802, 0.758], [0.750, 0.439, 0.118], [0.750, 0.104, 0.462], [0.750, 0.789, 0.286], [0.750, 0.437, 0.619], [0.250, 0.198, 0.242], [0.750, 0.955, 0.123], [0.250, 0.563, 0.381], [0.250, 0.561, 0.882], [0.750, 0.417, 0.836], [0.750, 0.156, 0.092], [0.250, 0.583, 0.164], [0.250, 0.286, 0.528], [0.750, 0.714, 0.472], [0.250, 0.844, 0.908], [0.750, 0.028, 0.685], [0.250, 0.972, 0.315]]
}



Record 4
{
  "formula": "LiZr2VAs",
  "functional": "PBE",
  "state": "relaxed",
  "spacegroup": "P4/mmm (123)",
  "formation_enthalpy_0k_ev_per_atom": 0.56,
  "dos_ef_per_ev_atom": 1.344,
  "dft_energy_ev_per_atom": -6.00,
  "lattice": [[4.692, 0.000, 0.000], [0.000, 4.077, 0.000], [0.000, 0.000, 4.692]],
  "species": ["Zr", "Zr", "As", "Li", "V"],
  "frac_coords": [[0.500, 0.000, 0.000], [0.000, 0.000, 0.500], [0.000, 0.500, 0.000], [0.000, 0.000, 0.000], [0.500, 0.500, 0.500]]
}